<w>
The following is a GGA-PBE calculation of MgTl2 after structural relaxation, from Alexandria.

The space group is C2/m (No. 12) and the conventional cell measures 28.627, 3.419 and 3.396 Å, with angles of 90.00, 93.31 and 90.00 degrees. The asymmetric unit holds Mg at (0.126, 0.000, 0.242), Tl at (0.051, 0.500, 0.722) and Tl at (0.204, 0.500, 0.758).

Its density is 8.7 g/cm³. The calculation puts the size of the total moment at 0.0 Bohr magnetons per cell.

<x>
The following is a GGA-PBE calculation of MgTl2 after structural relaxation, from Alexandria.

The space group is Pa-3 (No. 205) and the conventional cell measures 7.184, 7.184 and 7.184 Å, with angles of 90.00, 90.00 and 90.00 degrees. The asymmetric unit holds Mg at (0.000, 0.000, 0.000) and Tl at (0.141, 0.641, 0.859).

Its density is 7.8 g/cm³. The calculation puts the size of the total moment at 0.0 Bohr magnetons per cell.

<y>
The following is a GGA-PBE calculation of MgTl2 after structural relaxation, from Alexandria.

The space group is P-62m (No. 189) and the conventional cell measures 8.7458, 8.7458 and 3.7012 Å, with angles of 90.00, 90.00 and 120.00 degrees. The asymmetric unit holds Mg at (0.0000, 0.0000, 0.0000), Mg at (0.3333, 0.6667, 0.5000), Tl at (0.0000, 0.2885, 0.5000) and Tl at (0.0000, 0.6230, 0.0000).

Its density is 8.8 g/cm³. The calculation puts the size of the total moment at 0.0 Bohr magnetons per cell.

Each structure's energy above the most stable one, in eV/atom: <w> 0.014; <x> 0.179; <y> 0.000.

<w>
The following is a GGA-PBE calculation of MgTl6 after structural relaxation, from Alexandria.

The space group is R-3m (No. 166, hexagonal axes) and the conventional cell measures 5.5381, 5.5381 and 23.2627 Å, with angles of 90.00, 90.00 and 120.00 degrees. The asymmetric unit holds Mg at (0.0000, 0.0000, 0.0000), Tl at (0.0000, 0.0000, 0.1409), Tl at (0.0000, 0.0000, 0.2868) and Tl at (0.0000, 0.0000, 0.4287).

Its density is 10.1 g/cm³. The calculation puts the size of the total moment at 0.0 Bohr magnetons per cell.

<x>
The following is a GGA-PBE calculation of MgTl6 after structural relaxation, from Alexandria.

The space group is Im-3m (No. 229) and the conventional cell measures 8.566, 8.566 and 8.566 Å, with angles of 90.00, 90.00 and 90.00 degrees. The asymmetric unit holds Mg at (0.000, 0.000, 0.000) and Tl at (0.000, 0.250, 0.500).

Its density is 6.6 g/cm³. The calculation puts the size of the total moment at 0.0 Bohr magnetons per cell.

Each structure's energy above the most stable one, in eV/atom: <w> 0.000; <x> 0.440.

<w>
The following is a GGA-PBE calculation of Mg4Tl3 after structural relaxation, from Alexandria.

The space group is I-43d (No. 220) and the conventional cell measures 8.931, 8.931 and 8.931 Å, with angles of 90.00, 90.00 and 90.00 degrees. The asymmetric unit holds Mg at (0.082, 0.418, 0.582) and Tl at (0.000, 0.250, 0.875).

Its density is 6.6 g/cm³. The calculation puts the size of the total moment at 0.0 Bohr magnetons per cell.

<x>
The following is a GGA-PBE calculation of Mg4Tl3 after structural relaxation, from Alexandria.

The space group is I4/mmm (No. 139) and the conventional cell measures 3.660, 3.660 and 26.502 Å, with angles of 90.00, 90.00 and 90.00 degrees. The asymmetric unit holds Mg at (0.000, 0.000, 0.067), Mg at (0.000, 0.000, 0.365), Tl at (0.000, 0.000, 0.206) and Tl at (0.000, 0.000, 0.500).

Its density is 6.6 g/cm³. The calculation puts the size of the total moment at 0.0 Bohr magnetons per cell.

Each structure's energy above the most stable one, in eV/atom: <w> 0.018; <x> 0.000.

<w>
The following is a GGA-PBE calculation of Mg7Tl5 after structural relaxation, from Alexandria.

The space group is C2/m (No. 12) and the conventional cell measures 16.190, 3.517 and 12.087 Å, with angles of 90.00, 119.53 and 90.00 degrees. The asymmetric unit holds Mg at (0.000, 0.000, 0.000), Mg at (0.033, 0.500, 0.254), Mg at (0.140, 0.000, 0.752), Mg at (0.165, 0.000, 0.501), Tl at (0.000, 0.500, 0.500), Tl at (0.159, 0.500, 0.993) and Tl at (0.199, 0.000, 0.263).

Its density is 6.6 g/cm³. The calculation puts the size of the total moment at 0.0 Bohr magnetons per cell.

<x>
The following is a GGA-PBE calculation of Mg7Tl5 after structural relaxation, from Alexandria.

The space group is C2/m (No. 12) and the conventional cell measures 8.829, 5.068 and 13.597 Å, with angles of 90.00, 98.37 and 90.00 degrees. The asymmetric unit holds Mg at (0.000, 0.000, 0.000), Mg at (0.073, 0.500, 0.715), Mg at (0.193, 0.000, 0.581), Mg at (0.228, 0.500, 0.171), Tl at (0.000, 0.500, 0.500), Tl at (0.098, 0.000, 0.295) and Tl at (0.148, 0.500, 0.932).

Its density is 6.6 g/cm³. The calculation puts the size of the total moment at 0.0 Bohr magnetons per cell.

Each structure's energy above the most stable one, in eV/atom: <w> 0.000; <x> 0.006.

<w>
The following is a GGA-PBE calculation of Mg3Tl5 after structural relaxation, from Alexandria.

The space group is P4/mmm (No. 123) and the conventional cell measures 3.592, 3.592 and 16.447 Å, with angles of 90.00, 90.00 and 90.00 degrees. The asymmetric unit holds Mg at (0.000, 0.000, 0.000), Mg at (0.500, 0.500, 0.386), Tl at (0.000, 0.000, 0.261), Tl at (0.000, 0.000, 0.500) and Tl at (0.500, 0.500, 0.118).

Its density is 8.6 g/cm³. The calculation puts the size of the total moment at 0.0 Bohr magnetons per cell.

<x>
The following is a GGA-PBE calculation of Mg3Tl5 after structural relaxation, from Alexandria.

The space group is Cm (No. 8) and the conventional cell measures 6.083, 16.897 and 8.908 Å, with angles of 90.00, 109.87 and 90.00 degrees. The asymmetric unit holds Mg at (0.000, 0.000, 0.000), Mg at (0.104, 0.500, 0.310), Mg at (0.302, 0.173, 0.655), Mg at (0.303, 0.249, 0.155), Tl at (0.046, 0.000, 0.643), Tl at (0.058, 0.500, 0.667), Tl at (0.118, 0.101, 0.308), Tl at (0.193, 0.327, 0.453), Tl at (0.411, 0.327, 0.857) and Tl at (0.486, 0.101, 0.002).

Its density is 8.4 g/cm³. The calculation puts the size of the total moment at 0.0 Bohr magnetons per cell.

Each structure's energy above the most stable one, in eV/atom: <w> 0.000; <x> 0.016.

<w>
The following is a GGA-PBE calculation of Mg8Tl3 after structural relaxation, from Alexandria.

The space group is Pm-3m (No. 221) and the conventional cell measures 6.716, 6.716 and 6.716 Å, with angles of 90.00, 90.00 and 90.00 degrees. The asymmetric unit holds Mg at (0.240, 0.240, 0.240) and Tl at (0.000, 0.500, 0.500).

Its density is 4.4 g/cm³. The calculation puts the size of the total moment at 0.0 Bohr magnetons per cell.

<x>
The following is a GGA-PBE calculation of Mg8Tl3 after structural relaxation, from Alexandria.

The space group is C2/m (No. 12) and the conventional cell measures 10.125, 4.495 and 11.730 Å, with angles of 90.00, 103.40 and 90.00 degrees. The asymmetric unit holds Mg at (0.049, 0.000, 0.320), Mg at (0.135, 0.000, 0.955), Mg at (0.177, 0.500, 0.770), Mg at (0.223, 0.000, 0.588), Tl at (0.000, 0.500, 0.500) and Tl at (0.104, 0.500, 0.145).

Its density is 5.2 g/cm³. The calculation puts the size of the total moment at 0.0 Bohr magnetons per cell.

Each structure's energy above the most stable one, in eV/atom: <w> 0.149; <x> 0.000.

<w>
The following is a GGA-PBE calculation of Tm3MgTl4 after structural relaxation, from Alexandria.

The space group is I4/mmm (No. 139) and the conventional cell measures 5.230, 5.230 and 15.132 Å, with angles of 90.00, 90.00 and 90.00 degrees. The asymmetric unit holds Tm at (0.000, 0.000, 0.000), Tm at (0.000, 0.000, 0.255), Mg at (0.000, 0.000, 0.500) and Tl at (0.000, 0.500, 0.122).

Its density is 10.8 g/cm³. The calculation puts the size of the total moment at 0.3 Bohr magnetons per cell.

<x>
The following is a GGA-PBE calculation of Tm3MgTl4 after structural relaxation, from Alexandria.

The space group is Immm (No. 71) and the conventional cell measures 3.448, 6.787 and 18.723 Å, with angles of 90.00, 90.00 and 90.00 degrees. The asymmetric unit holds Tm at (0.000, 0.000, 0.000), Tm at (0.000, 0.500, 0.231), Mg at (0.000, 0.000, 0.500) and Tl at (0.000, 0.265, 0.377).

Its density is 10.2 g/cm³. The calculation puts the size of the total moment at 0.0 Bohr magnetons per cell.

Each structure's energy above the most stable one, in eV/atom: <w> 0.000; <x> 0.087.

<w>
The following is a GGA-PBE calculation of Tm2Mg2Tl after structural relaxation, from Alexandria.

The space group is C2/m (No. 12) and the conventional cell measures 11.269, 5.131 and 9.373 Å, with angles of 90.00, 108.57 and 90.00 degrees. The asymmetric unit holds Tm at (0.039, 0.000, 0.342), Tm at (0.161, 0.000, 0.057), Mg at (0.026, 0.500, 0.859), Mg at (0.139, 0.500, 0.576) and Tl at (0.244, 0.500, 0.289).

Its density is 7.6 g/cm³. The calculation puts the size of the total moment at 0.0 Bohr magnetons per cell.

<x>
The following is a GGA-PBE calculation of Tm2Mg2Tl after structural relaxation, from Alexandria.

The space group is C2/m (No. 12) and the conventional cell measures 8.883, 5.133 and 6.457 Å, with angles of 90.00, 117.34 and 90.00 degrees. The asymmetric unit holds Tm at (0.103, 0.000, 0.308), Mg at (0.184, 0.500, 0.053) and Tl at (0.000, 0.500, 0.500).

Its density is 7.5 g/cm³. The calculation puts the size of the total moment at 0.0 Bohr magnetons per cell.

Each structure's energy above the most stable one, in eV/atom: <w> 0.017; <x> 0.000.

<w>
The following is a GGA-PBE calculation of Tm6MgTl5 after structural relaxation, from Alexandria.

The space group is C2/m (No. 12) and the conventional cell measures 6.316, 10.956 and 9.955 Å, with angles of 90.00, 102.25 and 90.00 degrees. The asymmetric unit holds Tm at (0.249, 0.000, 0.251), Tm at (0.249, 0.167, 0.748), Mg at (0.000, 0.500, 0.000), Tl at (0.000, 0.000, 0.500), Tl at (0.000, 0.167, 0.000) and Tl at (0.000, 0.333, 0.500).

Its density is 10.2 g/cm³. The calculation puts the size of the total moment at 0.0 Bohr magnetons per cell.

<x>
The following is a GGA-PBE calculation of Tm6MgTl5 after structural relaxation, from Alexandria.

The space group is Immm (No. 71) and the conventional cell measures 5.024, 8.301 and 15.143 Å, with angles of 90.00, 90.00 and 90.00 degrees. The asymmetric unit holds Tm at (0.000, 0.240, 0.000), Tm at (0.000, 0.254, 0.332), Mg at (0.000, 0.000, 0.500), Tl at (0.000, 0.000, 0.170), Tl at (0.000, 0.500, 0.153) and Tl at (0.000, 0.500, 0.500).

Its density is 10.8 g/cm³. The calculation puts the size of the total moment at 0.0 Bohr magnetons per cell.

Each structure's energy above the most stable one, in eV/atom: <w> 0.076; <x> 0.000.

<w>
The following is a GGA-PBE calculation of Tm4MgTl2 after structural relaxation, from Alexandria.

The space group is R-3m (No. 166, hexagonal axes) and the conventional cell measures 5.2055, 5.2055 and 25.0063 Å, with angles of 90.00, 90.00 and 120.00 degrees. The asymmetric unit holds Tm at (0.0000, 0.0000, 0.1156), Tm at (0.0000, 0.0000, 0.3696), Mg at (0.0000, 0.0000, 0.5000) and Tl at (0.0000, 0.0000, 0.2454).

Its density is 9.4 g/cm³. The calculation puts the size of the total moment at 0.0 Bohr magnetons per cell.

<x>
The following is a GGA-PBE calculation of Tm4MgTl2 after structural relaxation, from Alexandria.

The space group is R-3m (No. 166, hexagonal axes) and the conventional cell measures 5.3124, 5.3124 and 25.6395 Å, with angles of 90.00, 90.00 and 120.00 degrees. The asymmetric unit holds Tm at (0.0000, 0.0000, 0.1291), Tm at (0.0000, 0.0000, 0.2735), Mg at (0.0000, 0.0000, 0.5000) and Tl at (0.0000, 0.0000, 0.3924).

Its density is 8.8 g/cm³. The calculation puts the size of the total moment at 0.0 Bohr magnetons per cell.

Each structure's energy above the most stable one, in eV/atom: <w> 0.000; <x> 0.140.

<w>
The following is a GGA-PBE calculation of TmMg4Tl after structural relaxation, from Alexandria.

The space group is F-43m (No. 216) and the conventional cell measures 8.470, 8.470 and 8.470 Å, with angles of 90.00, 90.00 and 90.00 degrees. The asymmetric unit holds Tm at (0.000, 0.000, 0.000), Mg at (0.125, 0.125, 0.375) and Tl at (0.250, 0.250, 0.750).

Its density is 5.1 g/cm³. The calculation puts the size of the total moment at 0.0 Bohr magnetons per cell.

<x>
The following is a GGA-PBE calculation of TmMg4Tl after structural relaxation, from Alexandria.

The space group is Pmma (No. 51) and the conventional cell measures 10.058, 3.356 and 8.728 Å, with angles of 90.00, 90.00 and 90.00 degrees. The asymmetric unit holds Tm at (0.250, 0.000, 0.045), Mg at (0.000, 0.000, 0.500), Mg at (0.014, 0.500, 0.825), Mg at (0.250, 0.500, 0.374) and Tl at (0.250, 0.000, 0.688).

Its density is 5.3 g/cm³. The calculation puts the size of the total moment at 0.0 Bohr magnetons per cell.

Each structure's energy above the most stable one, in eV/atom: <w> 0.091; <x> 0.000.